(1)
An optimized crystal structure of BePbSCl2, computed with PBE.

Lattice parameters (Å, degrees): 5.352 5.352 6.188 90.00 90.00 90.00
Space group P4/mmm (No. 123)
Unique sites:
Be 0.000 0.000 0.000 x1
Pb 0.500 0.500 0.500 x1
S 0.500 0.500 0.000 x1
Cl 0.000 0.500 0.500 x2

The crystal system is tetragonal. For the excess energy over the best structure of this formula in the dataset, the calculation gives 104.3 kJ per mole of atoms. As for the density of states at the Fermi level: 3.5 states/eV/f.u. The raw formation energy is 0.460 eV/atom.

***

(2)
An optimized crystal structure of BePbS2Cl, computed with PBE.

Lattice parameters (Å, degrees): 5.346 5.346 5.184 90.00 90.00 90.00
Space group P4/mmm (No. 123)
Unique sites:
Be 0.000 0.000 0.000 x1
Pb 0.500 0.500 0.500 x1
S 0.000 0.500 0.500 x2
Cl 0.500 0.500 0.000 x1

The crystal system is tetragonal. For the excess energy over the best structure of this formula in the dataset, the calculation gives 102.3 kJ per mole of atoms. As for the density of states at the Fermi level: 3.5 states/eV/f.u. The raw formation energy is 0.764 eV/atom.

***

(3)
An optimized crystal structure of Ta2BePbCl, computed with PBE.

Lattice parameters (Å, degrees): 5.325 5.325 5.235 90.00 90.00 90.00
Space group P4/mmm (No. 123)
Unique sites:
Ta 0.000 0.500 0.000 x2
Be 0.000 0.000 0.500 x1
Pb 0.500 0.500 0.000 x1
Cl 0.500 0.500 0.500 x1

The crystal system is tetragonal. As for the density of states at the Fermi level: 16.0 states/eV/f.u. The raw formation energy is 2.444 eV/atom.

***

(4)
An optimized crystal structure of BeTl2PbCl, computed with PBE.

Lattice parameters (Å, degrees): 4.993 4.993 5.248 90.00 90.00 90.00
Space group P4/mmm (No. 123)
Unique sites:
Be 0.000 0.000 0.000 x1
Tl 0.000 0.500 0.000 x2
Pb 0.500 0.500 0.500 x1
Cl 0.000 0.000 0.500 x1

The crystal system is tetragonal. As for the density of states at the Fermi level: 3.3 states/eV/f.u. The raw formation energy is 0.161 eV/atom.